Run w
Material: Li5Ca2Al
Method: DFT, PBE-GGA
State: optimized geometry

Unit cell a=6.371 b=6.371 c=5.088 alpha=90.00 beta=90.00 gamma=90.00
Space group P4/mmm (No. 123)
One atom of each set of equivalent atoms:
1 Li 0.000 0.000 0.000 x1
2 Li 0.285 0.285 0.500 x4
3 Ca 0.000 0.500 0.000 x2
4 Al 0.000 0.000 0.500 x1

Results
D(E_F) in states/eV/cell: 2.89
Total magnetization in μB/cell: 0.00

Run x
Material: Li5Ca2Al
Method: DFT, PBE-GGA
State: optimized geometry

Unit cell a=5.961 b=5.961 c=12.454 alpha=90.00 beta=90.00 gamma=90.00
Space group I4mm (No. 107)
One atom of each set of equivalent atoms:
1 Li 0.000 0.000 0.000 x2
2 Li 0.244 0.244 0.645 x8
3 Ca 0.000 0.500 0.384 x4
4 Al 0.000 0.000 0.791 x2

Results
D(E_F) in states/eV/cell: 10.02
Total magnetization in μB/cell: 0.00

Which of them is least stable? Easy: run w.

Run w
Material: CaLu2Al
Method: DFT, PBE-GGA
State: optimized geometry

Unit cell a=4.795 b=4.795 c=4.668 alpha=90.00 beta=90.00 gamma=90.00
Space group P4/mmm (No. 123)
One atom of each set of equivalent atoms:
1 Ca 0.000 0.000 0.000 x1
2 Lu 0.000 0.500 0.500 x2
3 Al 0.500 0.500 0.000 x1

Results
D(E_F) in states/eV/cell: 3.38
Total magnetization in μB/cell: 0.00

Run x
Material: CaLu2Al
Method: DFT, PBE-GGA
State: optimized geometry

Unit cell a=3.538 b=3.538 c=9.097 alpha=90.00 beta=90.00 gamma=90.00
Space group P4/mmm (No. 123)
One atom of each set of equivalent atoms:
1 Ca 0.000 0.000 0.000 x1
2 Lu 0.500 0.500 0.308 x2
3 Al 0.000 0.000 0.500 x1

Results
D(E_F) in states/eV/cell: 3.01
Total magnetization in μB/cell: 0.00

Which of them is least stable? Easy: run w.

Run w
Material: Ca3MnAl
Method: DFT, PBE-GGA
State: optimized geometry

Unit cell a=5.443 b=5.443 c=5.443 alpha=90.00 beta=90.00 gamma=90.00
Space group Pm-3m (No. 221)
One atom of each set of equivalent atoms:
1 Ca 0.000 0.000 0.500 x3
2 Mn 0.000 0.000 0.000 x1
3 Al 0.500 0.500 0.500 x1

Results
D(E_F) in states/eV/cell: 4.51
Total magnetization in μB/cell: 2.62

Run x
Material: Ca3MnAl
Method: DFT, PBE-GGA
State: optimized geometry

Unit cell a=5.816 b=5.816 c=5.816 alpha=90.00 beta=90.00 gamma=90.00
Space group Pm-3m (No. 221)
One atom of each set of equivalent atoms:
1 Ca 0.000 0.000 0.500 x3
2 Mn 0.500 0.500 0.500 x1
3 Al 0.000 0.000 0.000 x1

Results
D(E_F) in states/eV/cell: 4.53
Total magnetization in μB/cell: 4.13

Which of them is least stable? Easy: run x.